A plane-wave DFT calculation with PBE was carried out for a geometry-optimized Gd2TcRu structure.

Lattice parameters (Å, degrees): 3.4476 4.8546 4.8546 90.00 90.00 90.00
With the nearest neighbours (Å) after each atom.
Sites, in units of the cell vectors:
Gd 0.0000 0.5000 0.0000  4 Tc 2.98, 4 Ru 2.98
Tc 0.5000 0.0000 0.0000  8 Gd 2.98
Ru 0.5000 0.5000 0.5000  8 Gd 2.98
Gd 0.0000 0.0000 0.5000  4 Tc 2.98, 4 Ru 2.98

Calculated values
The calculation puts the formation energy at 0.002 eV/atom. The value obtained for the spin magnetization is 13.2 μB/f.u. As for the total energy: -11.95 eV/atom.

A plane-wave DFT calculation with PBE was carried out for a geometry-optimized Pm2PuN structure.

Lattice parameters (Å, degrees): 3.5111 3.5111 9.9080 79.79 79.79 60.00
With the nearest neighbours (Å) after each atom.
Sites, in units of the cell vectors:
Pm 0.1185 0.1185 0.6445  3 N 2.46
N 0.5000 0.5000 0.5000  6 Pm 2.46
Pu 0.0000 0.0000 0.0000  2 Pm 3.45, 6 Pu 3.51
Pm 0.8815 0.8815 0.3555  3 N 2.46

Calculated values
As for the formation energy (no corrections): -0.451 eV per atom. The value obtained for the spin magnetization is 5.9 μB/f.u. As for the total energy: -8.49 eV/atom. The energy above the most stable polymorph in this dataset is 0.0 meV per atom.

A plane-wave DFT calculation with PBE was carried out for a geometry-optimized NpTlIr structure.

Lattice parameters (Å, degrees): 5.6273 5.6273 7.2962 123.08 123.08 44.27
With the nearest neighbours (Å) after each atom.
Sites, in units of the cell vectors:
Np 0.8577 0.8577 0.9311  1 Np 2.51, 3 Ir 2.72-2.79
Ir 0.1475 0.1475 0.7007  3 Np 2.72-2.79, 1 Ir 2.72, 2 Tl 3.02
Tl 0.5783 0.5783 0.3522  5 Ir 3.02-3.10, 4 Np 3.29-3.30
Ir 0.8525 0.8525 0.2993  3 Np 2.72-2.79, 1 Ir 2.72, 2 Tl 3.02
Tl 0.4217 0.4217 0.6478  5 Ir 3.02-3.10, 4 Np 3.29-3.30
Np 0.1423 0.1423 0.0689  1 Np 2.51, 3 Ir 2.72-2.79

Calculated values
The calculation puts the formation energy at 0.060 eV/atom. The value obtained for the spin magnetization is 2.7 μB/f.u. As for the total energy: -8.00 eV/atom.

A plane-wave DFT calculation with PBE was carried out for a geometry-optimized Ca4Ho3AgSe8 structure.

Lattice parameters (Å, degrees): 8.2610 8.2793 8.2601 119.93 120.00 90.00
With the nearest neighbours (Å) after each atom.
Sites, in units of the cell vectors:
Ca 0.5000 0.0000 0.0000  6 Se 2.93
Ca 0.0000 0.0000 0.0000  6 Se 2.95-2.96
Se 0.7505 0.2573 0.0068  2 Ho 2.88, 1 Ag 2.92, 3 Ca 2.93-2.96
Ag 0.0000 0.5000 0.0000  6 Se 2.92
Ho 0.5000 0.5000 0.5000  6 Se 2.88-2.90
Ho 0.5000 0.5000 0.0000  6 Se 2.88-2.90
Se 0.7477 0.7430 0.4955  3 Ho 2.90, 3 Ca 2.95
Se 0.7437 0.7427 0.9932  2 Ho 2.88, 1 Ag 2.92, 3 Ca 2.93-2.96
Se 0.2495 0.7427 0.9932  2 Ho 2.88, 1 Ag 2.92, 3 Ca 2.93-2.96
Se 0.2563 0.2573 0.0068  2 Ho 2.88, 1 Ag 2.92, 3 Ca 2.93-2.96
Ca 0.0000 0.0000 0.5000  6 Se 2.95-2.96
Se 0.2496 0.7429 0.4992  2 Ho 2.88, 1 Ag 2.92, 3 Ca 2.93-2.96
Ho 0.0000 0.5000 0.5000  6 Se 2.88-2.90
Se 0.7504 0.2571 0.5008  2 Ho 2.88, 1 Ag 2.92, 3 Ca 2.93-2.96
Ca 0.5000 0.0000 0.5000  6 Se 2.95-2.96
Se 0.2523 0.2570 0.5045  3 Ho 2.90, 3 Ca 2.95

Calculated values
As for the formation energy (no corrections): -1.726 eV per atom. The value obtained for the spin magnetization is 0.0 μB/f.u. As for the total energy: -5.01 eV/atom.

A plane-wave DFT calculation with PBE was carried out for a geometry-optimized MoAuBr2 structure.

Lattice parameters (Å, degrees): 3.1608 3.1608 8.7408 90.00 90.00 90.00
With the nearest neighbours (Å) after each atom.
Sites, in units of the cell vectors:
Br 0.5000 0.5000 0.3311  4 Mo 2.73
Mo 0.0000 0.0000 0.5110  4 Br 2.73, 4 Au 2.86
Br 0.0000 0.0000 0.9425  4 Au 2.99, 4 Br 3.16
Au 0.5000 0.5000 0.7154  4 Mo 2.86, 4 Br 2.99, 4 Au 3.16

Calculated values
As for the formation energy (no corrections): 0.302 eV per atom. The value obtained for the spin magnetization is 0.0 μB/f.u. As for the total energy: -4.06 eV/atom. The energy above the most stable polymorph in this dataset is 218.5 meV per atom.

A plane-wave DFT calculation with PBE was carried out for a geometry-optimized RbSc structure.

Lattice parameters (Å, degrees): 11.7163 11.7163 11.7163 90.00 90.00 90.00
With the nearest neighbours (Å) after each atom.
Sites, in units of the cell vectors:
Rb 0.2882 0.2882 0.2882  4 Sc 4.05-4.07
Sc 0.9113 0.9113 0.0887  3 Sc 2.94
Rb 0.2118 0.2118 0.7882  4 Sc 4.05-4.07
Sc 0.5887 0.5887 0.5887  3 Sc 2.94
Sc 0.0887 0.9113 0.9113  3 Sc 2.94
Rb 0.2882 0.7118 0.7118  4 Sc 4.05-4.07
Sc 0.4113 0.5887 0.4113  3 Sc 2.94
Rb 0.7882 0.2118 0.2118  4 Sc 4.05-4.07
Sc 0.0887 0.0887 0.0887  3 Sc 2.94
Sc 0.5887 0.4113 0.4113  3 Sc 2.94
Rb 0.2118 0.7882 0.2118  4 Sc 4.05-4.07
Rb 0.7118 0.7118 0.2882  4 Sc 4.05-4.07
Rb 0.7118 0.2882 0.7118  4 Sc 4.05-4.07
Sc 0.9113 0.0887 0.9113  3 Sc 2.94
Rb 0.7882 0.7882 0.7882  4 Sc 4.05-4.07
Sc 0.4113 0.4113 0.5887  3 Sc 2.94

Calculated values
The calculation puts the formation energy at 0.984 eV/atom. The value obtained for the spin magnetization is 1.4 μB/f.u. As for the total energy: -2.67 eV/atom.

A plane-wave DFT calculation with PBE was carried out for a geometry-optimized CsSmTl structure.

Lattice parameters (Å, degrees): 4.1966 4.1966 15.8488 97.61 97.61 90.00
With the nearest neighbours (Å) after each atom.
Sites, in units of the cell vectors:
Tl 0.1695 0.1695 0.3391  5 Sm 3.26-3.65
Sm 0.2869 0.2869 0.5738  5 Tl 3.26-3.65
Cs 0.4183 0.4183 0.8366  4 Tl 4.04, 1 Sm 4.09, 4 Cs 4.20
Tl 0.8305 0.8305 0.6609  5 Sm 3.26-3.65
Sm 0.7131 0.7131 0.4262  5 Tl 3.26-3.65
Cs 0.5817 0.5817 0.1634  4 Tl 4.04, 1 Sm 4.09, 4 Cs 4.20

Calculated values
The calculation puts the formation energy at -0.099 eV/atom. The value obtained for the spin magnetization is 0.4 μB/f.u. As for the total energy: -2.75 eV/atom.

A plane-wave DFT calculation with PBE was carried out for a geometry-optimized TlGa2Re structure.

Lattice parameters (Å, degrees): 4.2116 4.2116 9.5975 77.33 77.33 90.00
With the nearest neighbours (Å) after each atom.
Sites, in units of the cell vectors:
Tl 0.0000 0.0000 0.0000  4 Ga 2.86, 4 Re 2.98
Re 0.2500 0.7500 0.5000  4 Ga 2.62
Re 0.5000 0.5000 0.0000  4 Ga 2.62
Ga 0.5517 0.1250 0.2500  2 Ga 2.58, 2 Re 2.62, 2 Tl 2.86
Ga 0.8750 0.8017 0.7500  2 Ga 2.58, 2 Re 2.62, 2 Tl 2.86
Tl 0.7500 0.2500 0.5000  4 Ga 2.86, 4 Re 2.98
Ga 0.3750 0.4483 0.7500  2 Ga 2.58, 2 Re 2.62, 2 Tl 2.86
Ga 0.1983 0.6250 0.2500  2 Ga 2.58, 2 Re 2.62, 2 Tl 2.86

Calculated values
The calculation puts the formation energy at 0.698 eV/atom. The value obtained for the spin magnetization is 1.5 μB/f.u. As for the total energy: -4.52 eV/atom. The energy above the most stable polymorph in this dataset is 0.0 meV per atom.

A plane-wave DFT calculation with PBE was carried out for a geometry-optimized NaLaZnGa structure.

Lattice parameters (Å, degrees): 5.1634 5.1634 5.1634 60.00 60.00 60.00
With the nearest neighbours (Å) after each atom.
Sites, in units of the cell vectors:
La 0.7500 0.7500 0.7500  4 Ga 3.16, 4 Zn 3.16
Zn 0.5000 0.5000 0.5000  4 Na 3.16, 4 La 3.16
Na 0.2500 0.2500 0.2500  4 Zn 3.16, 4 Ga 3.16
Ga 0.0000 0.0000 0.0000  4 La 3.16, 4 Na 3.16

Calculated values
The calculation puts the formation energy at -0.244 eV/atom. The value obtained for the spin magnetization is 0.0 μB/f.u. As for the total energy: -2.88 eV/atom.

A plane-wave DFT calculation with PBE was carried out for a geometry-optimized Cs2RbTaS4 structure.

Lattice parameters (Å, degrees): 7.7257 7.8840 17.0526 83.63 76.91 60.66
With the nearest neighbours (Å) after each atom.
Sites, in units of the cell vectors:
S 0.8070 0.8005 0.9215  1 Ta 2.29
Ta 0.5000 0.0000 0.0000  4 S 2.29
S 0.3575 0.6995 0.4215  1 Ta 2.29
Cs 0.5478 0.5000 0.9043  4 S 3.61-3.84
S 0.5291 0.1995 0.0785  1 Ta 2.29
Cs 0.9522 0.5000 0.0957  4 S 3.61-3.84
Rb 0.0000 0.0000 0.0000  4 S 3.19
Cs 0.7978 0.0000 0.4043  4 S 3.61-3.84
S 0.2209 0.3005 0.4215  1 Ta 2.29
S 0.4785 0.3005 0.5785  1 Ta 2.29
Rb 0.7500 0.5000 0.5000  4 S 3.19
S 0.3925 0.8005 0.0785  1 Ta 2.29
S 0.2715 0.1995 0.9215  1 Ta 2.29
Ta 0.2500 0.5000 0.5000  4 S 2.29
S 0.9430 0.6995 0.5785  1 Ta 2.29
Cs 0.2022 0.0000 0.5957  4 S 3.61-3.84

Calculated values
As for the formation energy (no corrections): -1.127 eV per atom. The value obtained for the spin magnetization is 0.0 μB/f.u. As for the total energy: -5.01 eV/atom.